Here is a relaxed NiRhO2F crystal from Alexandria. Energies are from PBE+U.

Structure (CIF):
```
data_NiRhO2F
_cell_length_a 3.9306
_cell_length_b 3.9306
_cell_length_c 4.0510
_cell_angle_alpha 90.00
_cell_angle_beta 90.00
_cell_angle_gamma 90.00
_symmetry_space_group_name_H-M 'P 1'
_symmetry_Int_Tables_number 1
_symmetry_space_group_name_Hall 'P 1'
loop_
_atom_site_label
_atom_site_type_symbol
_atom_site_fract_x
_atom_site_fract_y
_atom_site_fract_z
_atom_site_occupancy
Ni1 Ni 0.0000 0.0000 0.0000 1
Rh1 Rh 0.5000 0.5000 0.5000 1
O1 O 0.0000 0.5000 0.5000 1
O2 O 0.5000 0.0000 0.5000 1
F1 F 0.5000 0.5000 0.0000 1
```

## Properties
**DOS at the Fermi energy**: 1.21 states/eV/atom
**Spin magnetization**: 2.6 μB per formula unit
**VASP energy**: -22.61 eV for the cell shown